The following is a GGA-PBE calculation of a geometry-optimized Na2CdFeCu structure, from Alexandria via LeMat-Bulk.

Its calculated volume is 25.34 Å³/atom. The density of states at the Fermi level is 3.931 states/eV/cell. Its crystal system is tetragonal. For the total DFT energy (no corrections), the calculation gives -2.575 eV/atom. As for the space-group type: P4/mmm. The calculated density is 3.641 g/cm³.

a = 5.2298 Å, b = 4.6325 Å, c = 5.2298 Å
α = 90.00°, β = 90.00°, γ = 90.00°
Last column: magnetic moment on the atom in μB.
Atoms (fractional coordinates):
Na (0.0000, 0.0000, 0.5000)  -0.01
Na (0.5000, 0.0000, 0.0000)  -0.02
Fe (0.0000, 0.5000, 0.0000)  3.02
Cu (0.0000, 0.0000, 0.0000)  0.11
Cd (0.5000, 0.5000, 0.5000)  -0.01

The following is a GGA-PBE calculation of a geometry-optimized La2ScInCo structure, from Alexandria via LeMat-Bulk.

Its calculated volume is 27.65 Å³/atom. The density of states at the Fermi level is 5.827 states/eV/cell. Its crystal system is tetragonal. For the total DFT energy (no corrections), the calculation gives -5.454 eV/atom. As for the space-group type: P4/mmm. The calculated density is 5.964 g/cm³.

a = 5.2009 Å, b = 5.2009 Å, c = 5.1108 Å
α = 90.00°, β = 90.00°, γ = 90.00°
Atoms (fractional coordinates):
Sc (0.0000, 0.0000, 0.5000)
In (0.5000, 0.5000, 0.5000)
Co (0.0000, 0.0000, 0.0000)
La (0.0000, 0.5000, 0.0000)
La (0.5000, 0.0000, 0.0000)

The following is a GGA-PBE calculation of a geometry-optimized Ag2SbMo structure, from Alexandria via LeMat-Bulk.

Its calculated volume is 19.28 Å³/atom. The density of states at the Fermi level is 4.669 states/eV/cell. Its crystal system is trigonal. For the uncorrected formation energy, the calculation gives 2.2 eV/f.u. As for the space-group type: R-3m. The calculated density is 9.331 g/cm³.

a = 9.9947 Å, b = 9.9947 Å, c = 9.9947 Å
α = 17.31°, β = 17.31°, γ = 17.31°
Atoms (fractional coordinates):
Ag (0.9950, 0.9950, 0.9950)
Ag (0.5050, 0.5050, 0.5050)
Mo (0.2500, 0.2500, 0.2500)
Sb (0.7500, 0.7500, 0.7500)

The following is a GGA-PBE calculation of a geometry-optimized ZrSb2Cl structure, from Alexandria via LeMat-Bulk.

Its calculated volume is 23.77 Å³/atom. The density of states at the Fermi level is 4.510 states/eV/cell. Its crystal system is tetragonal. For the uncorrected formation energy, the calculation gives -0.5 eV/f.u. As for the space-group type: I-4m2. The calculated density is 6.465 g/cm³.

a = 5.1273 Å, b = 5.1273 Å, c = 5.1273 Å
α = 120.15°, β = 120.15°, γ = 89.73°
Atoms (fractional coordinates):
Cl (0.7500, 0.2500, 0.5000)
Sb (0.0000, 0.0000, 0.0000)
Sb (0.2500, 0.7500, 0.5000)
Zr (0.5000, 0.5000, 0.0000)

The following is a GGA-PBE calculation of a geometry-optimized Ir2PtAu structure, from Alexandria via LeMat-Bulk.

Its calculated volume is 15.97 Å³/atom. The density of states at the Fermi level is 4.134 states/eV/cell. Its crystal system is orthorhombic. For the total DFT energy (no corrections), the calculation gives -6.444 eV/atom. As for the space-group type: Immm. The calculated density is 20.182 g/cm³.

a = 5.5992 Å, b = 5.5992 Å, c = 5.5992 Å
α = 151.63°, β = 129.52°, γ = 58.92°
Atoms (fractional coordinates):
Au (0.2500, 0.7500, 0.5000)
Ir (0.9858, 0.9858, 0.0000)
Ir (0.5142, 0.5142, 0.0000)
Pt (0.7500, 0.2500, 0.5000)

The following is a GGA-PBE calculation of a geometry-optimized BaTl2CdSb2 structure, from Alexandria via LeMat-Bulk.

Its calculated volume is 34.16 Å³/atom. The density of states at the Fermi level is 2.547 states/eV/cell. Its crystal system is orthorhombic. For the uncorrected formation energy, the calculation gives -2.3 eV/f.u. As for the space-group type: Pmc2_1. The calculated density is 7.308 g/cm³.

a = 4.9936 Å, b = 8.2210 Å, c = 9.9855 Å
α = 90.00°, β = 90.00°, γ = 90.00°
Atoms (fractional coordinates):
Ba (0.0000, 0.0051, 0.4346)
Ba (0.0000, 0.5051, 0.5654)
Tl (0.5000, 0.0198, 0.0860)
Tl (0.0000, 0.3416, 0.1620)
Tl (0.5000, 0.5198, 0.9140)
Tl (0.0000, 0.8416, 0.8380)
Cd (0.5000, 0.1581, 0.6763)
Cd (0.5000, 0.6581, 0.3237)
Sb (0.0000, 0.2275, 0.8279)
Sb (0.5000, 0.2935, 0.3852)
Sb (0.0000, 0.7275, 0.1721)
Sb (0.5000, 0.7935, 0.6148)

The following is a GGA-PBE calculation of a geometry-optimized KNi2As structure, from Alexandria via LeMat-Bulk.

Its calculated volume is 16.32 Å³/atom. The density of states at the Fermi level is 4.389 states/eV/cell. Its crystal system is orthorhombic. For the total DFT energy (no corrections), the calculation gives -3.709 eV/atom. As for the space-group type: Cmmm. The calculated density is 5.887 g/cm³.

a = 4.4882 Å, b = 4.4882 Å, c = 3.2401 Å
α = 90.00°, β = 90.00°, γ = 90.12°
Last column: magnetic moment on the atom in μB.
Atoms (fractional coordinates):
As (0.5000, 0.0000, 0.5000)  0.01
K (0.0000, 0.5000, 0.5000)  0.00
Ni (0.0000, 0.0000, 0.0000)  0.15
Ni (0.5000, 0.5000, 0.0000)  0.15

The following is a GGA-PBE calculation of a geometry-optimized NaLiZnHg structure, from Alexandria via LeMat-Bulk.

Its calculated volume is 19.33 Å³/atom. The density of states at the Fermi level is 1.393 states/eV/cell. Its crystal system is cubic. For the total DFT energy (no corrections), the calculation gives -1.343 eV/atom. As for the space-group type: F-43m. The calculated density is 6.357 g/cm³.

a = 4.7816 Å, b = 4.7816 Å, c = 4.7816 Å
α = 60.00°, β = 60.00°, γ = 60.00°
Atoms (fractional coordinates):
Na (0.2500, 0.2500, 0.2500)
Zn (0.5000, 0.5000, 0.5000)
Hg (0.7500, 0.7500, 0.7500)
Li (0.0000, 0.0000, 0.0000)